(1)
A geometry-optimized Np2Si3Pt2 structure. Source: the Alexandria database, functional PBE-GGA.

Cell lengths 4.198, 17.608, 6.862 Å; angles 90.00, 90.00, 90.00 degrees
Space group Cmcm (No. 63)
One atom of each set of equivalent atoms:
Np  0.000  0.052  0.250
Np  0.000  0.148  0.750
Si  0.000  0.221  0.250
Si  0.000  0.440  0.071
Pt  0.000  0.307  0.545

Results
Mass density = 12.4 g/cm³
DOS at the Fermi energy = 14.27 states/eV/f.u.
E_form (uncorrected) = -0.58 eV per atom
Crystal system = orthorhombic
Uncorrected energy = -233.0 eV for the cell shown

(2)
A geometry-optimized Ho6N5F structure. Source: the Alexandria database, functional PBE-GGA.

Cell lengths 5.993, 10.367, 5.979 Å; angles 90.00, 109.66, 90.00 degrees
Space group C2/m (No. 12)
One atom of each set of equivalent atoms:
Ho  0.236  0.000  0.264
Ho  0.239  0.176  0.744
N  0.000  0.000  0.500
N  0.000  0.167  0.000
N  0.000  0.333  0.500
F  0.000  0.500  0.000

Results
Mass density = 10.2 g/cm³
DOS at the Fermi energy = 2.23 states/eV/f.u.
E_form (uncorrected) = -1.92 eV per atom
Crystal system = monoclinic
Uncorrected energy = -187.9 eV for the cell shown